Computed, not measured: a geometry-optimized GeSbMo4C2 structure at the PBE level of DFT.

Results
**Magnetic moment**: 0.0 μB/cell
**Electronic total energy**: -8.81 eV per atom

a = 3.2003 Å, b = 3.2003 Å, c = 12.8489 Å
α = 90.00°, β = 90.00°, γ = 120.00°
Closest atoms and distances in Å follow each position.
Fractional coordinates of all 8 atoms:
Ge: 0.0000 0.0000 0.0000  6 Mo 2.70
Sb: 0.3333 0.6667 0.5000  6 Mo 2.92, 6 Sb 3.20
Mo: 0.0000 0.0000 0.3241  3 C 2.12
Mo: 0.0000 0.0000 0.6759  3 C 2.12
Mo: 0.3333 0.6667 0.1533  3 C 2.17
Mo: 0.3333 0.6667 0.8467  3 C 2.17
C: 0.6667 0.3333 0.2426  6 Mo 2.12-2.17
C: 0.6667 0.3333 0.7574  6 Mo 2.12-2.17